A geometry-optimized Na6Co2C4SO16 structure. Source: Alexandria via LeMat-Bulk, functional GGA+U.

```
Na6Co2C4SO16
1.0
0.0000 7.0128 7.0128
7.0128 0.0000 7.0128
7.0128 7.0128 0.0000
Na Co C S O
12 4 8 2 32
Direct
0.0920 0.0920 0.6580
0.0920 0.6580 0.0920
0.0920 0.6580 0.6580
0.3420 0.3420 0.9080
0.3420 0.9080 0.3420
0.3420 0.9080 0.9080
0.6580 0.0920 0.0920
0.6580 0.0920 0.6580
0.6580 0.6580 0.0920
0.9080 0.3420 0.3420
0.9080 0.3420 0.9080
0.9080 0.9080 0.3420
0.0000 0.5000 0.5000
0.5000 0.0000 0.5000
0.5000 0.5000 0.0000
0.5000 0.5000 0.5000
0.2818 0.2818 0.2818
0.2818 0.2818 0.6546
0.2818 0.6546 0.2818
0.3454 0.7182 0.7182
0.6546 0.2818 0.2818
0.7182 0.3454 0.7182
0.7182 0.7182 0.3454
0.7182 0.7182 0.7182
0.1250 0.1250 0.1250
0.8750 0.8750 0.8750
0.0633 0.0633 0.0633
0.0633 0.0633 0.3100
0.0633 0.3100 0.0633
0.1399 0.3043 0.6568
0.1399 0.3990 0.3043
0.1399 0.6568 0.3990
0.3043 0.1399 0.3990
0.3043 0.3990 0.6568
0.3043 0.6568 0.1399
0.3100 0.0633 0.0633
0.3432 0.6010 0.8601
0.3432 0.6957 0.6010
0.3432 0.8601 0.6957
0.3990 0.1399 0.6568
0.3990 0.3043 0.1399
0.3990 0.6568 0.3043
0.6010 0.3432 0.6957
0.6010 0.6957 0.8601
0.6010 0.8601 0.3432
0.6568 0.1399 0.3043
0.6568 0.3043 0.3990
0.6568 0.3990 0.1399
0.6900 0.9367 0.9367
0.6957 0.3432 0.8601
0.6957 0.6010 0.3432
0.6957 0.8601 0.6010
0.8601 0.3432 0.6010
0.8601 0.6010 0.6957
0.8601 0.6957 0.3432
0.9367 0.6900 0.9367
0.9367 0.9367 0.6900
0.9367 0.9367 0.9367
```

Results
- ρ (g cm⁻³) = 2.8
- total energy (eV/atom) = -6.39